[1]
This record from Alexandria via LeMat-Bulk describes Ac2ZrAs4Pd3 after structural relaxation. The functional is PBE.

Lattice parameters (Å, degrees): 4.5182 4.5182 10.7085 90.00 90.00 90.00
Last column: nearest neighbours and their distance in Å.
Space group P-4m2 (No. 115)
Asymmetric unit:
1 Ac 0.0000 0.5000 0.2252 [2 per cell]  8 As 3.30-3.50, 5 Pd 3.40-3.67
2 Zr 0.0000 0.0000 0.5000 [1 per cell]  4 As 2.72
3 As 0.0000 0.0000 0.0000 [1 per cell]  4 Pd 2.59
4 As 0.0000 0.5000 0.6413 [2 per cell]  3 Pd 2.58-2.72, 2 Zr 2.72
5 As 0.5000 0.5000 0.0000 [1 per cell]  4 Pd 2.59
6 Pd 0.0000 0.5000 0.8824 [2 per cell]  5 As 2.58-2.59
7 Pd 0.5000 0.5000 0.5000 [1 per cell]  4 As 2.72

Values from the calculation:
Energy of formation from the pure elements (eV per atom): -0.948

---

[2]
This record from Alexandria via LeMat-Bulk describes NdCd9Ni3 after structural relaxation. The functional is PBE.

Lattice parameters (Å, degrees): 5.4819 13.9056 7.2046 90.00 111.08 90.00
Last column: nearest neighbours and their distance in Å.
Space group C2/m (No. 12)
Asymmetric unit:
1 Nd 0.0000 0.0000 0.0000 [2 per cell]  14 Cd 3.29-3.60, 2 Ni 3.66
2 Cd 0.0000 0.0000 0.5000 [2 per cell]  2 Ni 2.74, 8 Cd 2.89-3.02
3 Cd 0.0936 0.3878 0.2135 [8 per cell]  3 Ni 2.74-2.78, 5 Cd 2.87-3.06
4 Cd 0.1631 0.1759 0.3276 [8 per cell]  3 Ni 2.77-3.05, 4 Cd 2.90-3.06
5 Ni 0.0000 0.5000 0.5000 [2 per cell]  10 Cd 2.74-3.05
6 Ni 0.2500 0.2500 0.0000 [4 per cell]  8 Cd 2.74-2.81, 2 Ni 2.74

Values from the calculation:
Energy of formation from the pure elements (eV per atom): -0.092

---

[3]
This record from Alexandria via LeMat-Bulk describes Tb2SmAl after structural relaxation. The functional is PBE.

Lattice parameters (Å, degrees): 3.5312 3.5312 9.1217 90.00 90.00 90.00
Last column: nearest neighbours and their distance in Å.
Space group P4/mmm (No. 123)
Asymmetric unit:
1 Tb 0.0000 0.0000 0.2115 [2 per cell]  4 Al 3.16, 4 Tb 3.53
2 Sm 0.5000 0.5000 0.5000 [1 per cell]  4 Sm 3.53, 8 Tb 3.63
3 Al 0.5000 0.5000 0.0000 [1 per cell]  8 Tb 3.16, 4 Al 3.53

Values from the calculation:
Energy of formation from the pure elements (eV per atom): -0.186
Offset from the most stable computed form (meV per atom): 7

---

[4]
This record from Alexandria via LeMat-Bulk describes HfMn2HCl after structural relaxation. The functional is PBE.

Lattice parameters (Å, degrees): 5.2700 5.2700 3.6067 90.00 90.00 90.00
Last column: nearest neighbours and their distance in Å.
Space group P4/mmm (No. 123)
Asymmetric unit:
1 Hf 0.0000 0.0000 0.0000 [1 per cell]  2 H 1.80
2 Mn 0.0000 0.5000 0.0000 [2 per cell]  2 Hf 2.63
3 H 0.0000 0.0000 0.5000 [1 per cell]  2 Hf 1.80
4 Cl 0.5000 0.5000 0.5000 [1 per cell]  8 Mn 3.19

---

[5]
This record from Alexandria via LeMat-Bulk describes TeOs4Au after structural relaxation. The functional is PBE.

Lattice parameters (Å, degrees): 7.4663 7.4663 7.4663 90.00 90.00 90.00
Last column: nearest neighbours and their distance in Å.
Space group F-43m (No. 216)
Asymmetric unit:
1 Te 0.0000 0.0000 0.0000 [4 per cell]  12 Os 3.10, 4 Au 3.23
2 Os 0.1248 0.1248 0.6248 [16 per cell]  6 Os 2.64
3 Au 0.2500 0.2500 0.2500 [4 per cell]  12 Os 3.09, 4 Te 3.23

Values from the calculation:
Uncorrected formation energy (eV/atom): 1.0425

---

[6]
This record from Alexandria via LeMat-Bulk describes Pa4IrOsS2 after structural relaxation. The functional is PBE.

Lattice parameters (Å, degrees): 6.6958 3.8739 7.2545 90.00 107.90 90.00
Last column: nearest neighbours and their distance in Å.
Space group P2/m (No. 10)
Asymmetric unit:
1 Pa 0.2445 0.0000 0.2417 [2 per cell]  2 Os 2.78, 1 Ir 2.80, 3 S 2.84-2.87
2 Pa 0.2489 0.5000 0.7570 [2 per cell]  1 Os 2.77, 2 Ir 2.80, 3 S 2.85-2.87
3 Ir 0.5000 0.0000 0.0000 [1 per cell]  6 Pa 2.80
4 Os 0.0000 0.5000 0.0000 [1 per cell]  6 Pa 2.77-2.78
5 S 0.0000 0.0000 0.5000 [1 per cell]  6 Pa 2.84-2.85
6 S 0.5000 0.5000 0.5000 [1 per cell]  6 Pa 2.87

Values from the calculation:
Uncorrected formation energy (eV/atom): -1.0191

---

Number 1: VASP energy -6.04 eV/atom, Fermi-level density of states 7.08 states/eV/cell. Number 2: VASP energy -2.43 eV/atom, Fermi-level density of states 16.25 states/eV/cell. Number 3: VASP energy -4.62 eV/atom, Fermi-level density of states 3.27 states/eV/cell. Number 4: VASP energy -5.89 eV/atom, Fermi-level density of states 2.98 states/eV/cell. Number 5: VASP energy -7.51 eV/atom, Fermi-level density of states 36.96 states/eV/cell. Number 6: VASP energy -9.31 eV/atom, Fermi-level density of states 10.51 states/eV/cell.